(one)
The following is a DFT calculation (PBE) of a geometry-optimized Mg2SbRh3 structure.

Results
Space-group type: No. 10
Total moment: 0.0 μB per cell

The structure in extended XYZ format:
```
12
Lattice="4.4944 -0.0032 0.0177 2.2423 6.7792 0.0088 -0.0246 0.0000 6.2363" Properties=species:S:1:pos:R:3 pbc="T T T"
Sb 4.4913 4.6405 0.0177
Sb 2.2454 2.1354 0.0089
Rh 2.2288 -0.0016 4.6731
Rh 2.2249 4.4545 4.7492
Rh 2.2410 -0.0016 1.5810
Rh 4.4872 2.3215 1.5137
Rh 4.4744 2.3215 4.7581
Rh 2.2377 4.4545 1.5048
Mg 2.2339 2.2677 3.1270
Mg -0.0123 0.0000 3.1182
Mg 4.4781 4.5083 3.1359
Mg 0.0000 0.0000 0.0000
```

---

(two)
The following is a DFT calculation (PBE) of a geometry-optimized Mg2SbRh3 structure.

Results
Space-group type: No. 164
Total moment: 0.0 μB per cell

The structure in extended XYZ format:
```
6
Lattice="4.4650 0.0000 0.0000 -2.2325 3.8668 0.0000 0.0000 0.0000 5.4399" Properties=species:S:1:pos:R:3 pbc="T T T"
Rh 0.0000 0.0000 2.7199
Rh 0.0000 2.5778 0.8536
Rh 2.2325 1.2889 4.5863
Mg 2.2325 1.2889 1.8979
Mg 0.0000 2.5778 3.5420
Sb 0.0000 0.0000 0.0000
```

---

Which structure loses on stability? (one) does.

---

(one)
The following is a DFT calculation (PBE) of a geometry-optimized Mg2Sc2Rh structure.

Results
Space-group type: No. 127
Total moment: 1.2 μB per cell

The structure in extended XYZ format:
```
10
Lattice="-4.4187 -4.2234 2.6627 4.6207 -2.1125 4.3172 -1.3364 3.3261 3.0579" Properties=species:S:1:pos:R:3 pbc="T T T"
Sc 0.1516 -2.9328 6.8862
Sc -1.2859 -0.0770 3.1516
Sc -2.8121 -2.5010 5.1213
Sc 1.6777 -0.5088 4.9165
Rh 0.1010 -3.1679 3.4900
Rh 0.0000 0.0000 0.0000
Mg -2.1803 -3.0214 2.3336
Mg 2.3824 -3.3144 4.6463
Mg 1.0124 -1.3593 1.9210
Mg -0.8104 -4.9765 5.0589
```

---

(two)
The following is a DFT calculation (PBE) of a geometry-optimized Mg2Sc2Rh structure.

Results
Space-group type: No. 139
Total moment: 0.0 μB per cell

The structure in extended XYZ format:
```
5
Lattice="-2.1972 1.5561 1.7436 0.4559 -2.0619 2.4146 8.0295 6.1925 1.6415" Properties=species:S:1:pos:R:3 pbc="T T T"
Sc 5.9901 4.9698 3.1131
Sc 0.2980 0.7167 2.6865
Mg 2.8218 2.3412 1.4665
Mg 3.4664 3.3454 4.3331
Rh 0.0000 0.0000 0.0000
```

---

Which structure loses on stability? (one) does.

---

(one)
The following is a DFT calculation (PBE) of a geometry-optimized Mg2ScRh2 structure.

Results
Space-group type: No. 127
Total moment: 0.0 μB per cell

The structure in extended XYZ format:
```
10
Lattice="7.4398 0.0000 0.0000 0.0000 7.4398 0.0000 0.0000 0.0000 3.0461" Properties=species:S:1:pos:R:3 pbc="T T T"
Rh 2.4208 1.2991 1.5230
Rh 5.0190 6.1407 1.5230
Rh 6.1407 2.4208 1.5230
Rh 1.2991 5.0190 1.5230
Mg 2.7858 6.5057 0.0000
Mg 0.9341 2.7858 0.0000
Mg 6.5057 4.6541 0.0000
Mg 4.6541 0.9341 0.0000
Sc 0.0000 0.0000 0.0000
Sc 3.7199 3.7199 0.0000
```

---

(two)
The following is a DFT calculation (PBE) of a geometry-optimized Mg2ScRh2 structure.

Results
Space-group type: No. 65
Total moment: 0.0 μB per cell

The structure in extended XYZ format:
```
5
Lattice="-2.2228 2.2008 0.3817 -1.8726 -1.5349 -2.0553 -4.5172 -5.5723 5.8231" Properties=species:S:1:pos:R:3 pbc="T T T"
Sc 0.0000 0.0000 0.0000
Rh -2.6862 -0.5238 0.3847
Rh -5.9264 -4.3826 3.7647
Mg -3.1117 -3.1975 0.3152
Mg -3.2781 -3.9097 3.4526
```

---

(three)
The following is a DFT calculation (PBE) of a geometry-optimized Mg2ScRh2 structure.

Results
Space-group type: No. 139
Total moment: 0.0 μB per cell

The structure in extended XYZ format:
```
5
Lattice="3.8620 0.0000 0.0000 0.0000 3.8620 0.0000 1.9310 1.9310 6.1345" Properties=species:S:1:pos:R:3 pbc="T T T"
Mg 1.9310 3.8620 3.0673
Mg 3.8620 1.9310 3.0673
Rh 1.9310 1.9310 1.2691
Rh 3.8620 3.8620 4.8654
Sc 0.0000 0.0000 0.0000
```

---

(four)
The following is a DFT calculation (PBE) of a geometry-optimized Mg2ScRh2 structure.

Results
Space-group type: No. 127
Total moment: 0.0 μB per cell

The structure in extended XYZ format:
```
10
Lattice="7.3116 0.0000 0.0000 0.0000 7.3116 0.0000 0.0000 0.0000 3.2080" Properties=species:S:1:pos:R:3 pbc="T T T"
Rh 2.5102 6.1660 0.0000
Rh 1.1456 2.5102 0.0000
Rh 4.8014 1.1456 0.0000
Rh 6.1660 4.8014 0.0000
Mg 2.6202 1.0357 1.6040
Mg 4.6915 6.2760 1.6040
Mg 6.2760 2.6202 1.6040
Mg 1.0357 4.6915 1.6040
Sc 3.6558 3.6558 0.0000
Sc 0.0000 0.0000 0.0000
```

---

Which structure loses on stability? (three) does.

---

(one)
The following is a DFT calculation (PBE) of a geometry-optimized MgScRh3 structure.

Results
Space-group type: No. 221
Total moment: 0.7 μB per cell

The structure in extended XYZ format:
```
5
Lattice="4.6557 0.0000 0.0000 0.0000 4.6557 0.0000 0.0000 0.0000 4.6557" Properties=species:S:1:pos:R:3 pbc="T T T"
Rh 0.0000 2.3279 0.0000
Rh 0.0000 0.0000 2.3279
Rh 2.3279 0.0000 0.0000
Mg 2.3279 2.3279 2.3279
Sc 0.0000 0.0000 0.0000
```

---

(two)
The following is a DFT calculation (PBE) of a geometry-optimized MgScRh3 structure.

Results
Space-group type: No. 221
Total moment: 0.0 μB per cell

The structure in extended XYZ format:
```
5
Lattice="4.4906 0.0000 0.0000 0.0000 4.4906 0.0000 0.0000 0.0000 4.4906" Properties=species:S:1:pos:R:3 pbc="T T T"
Rh 0.0000 0.0000 2.2453
Rh 0.0000 2.2453 0.0000
Rh 2.2453 0.0000 0.0000
Sc 2.2453 2.2453 2.2453
Mg 0.0000 0.0000 0.0000
```

---

Which structure loses on stability? (one) does.

---

(one)
The following is a DFT calculation (PBE) of a geometry-optimized TmMgScRh structure.

Results
Space-group type: No. 99
Total moment: 0.0 μB per cell

The structure in extended XYZ format:
```
4
Lattice="-1.2845 2.7345 1.5792 -3.1410 -0.9308 -0.9431 -0.7061 -3.9296 6.2302" Properties=species:S:1:pos:R:3 pbc="T T T"
Mg -0.0624 -0.3474 0.5509
Sc -2.4671 -0.5137 2.5623
Tm -2.7642 -2.1672 5.1839
Rh -0.3919 -2.1811 3.4581
```

---

(two)
The following is a DFT calculation (PBE) of a geometry-optimized TmMgScRh structure.

Results
Space-group type: No. 216
Total moment: 0.0 μB per cell

The structure in extended XYZ format:
```
4
Lattice="4.8760 0.0000 0.0000 2.4380 4.2227 0.0000 2.4380 1.4076 3.9812" Properties=species:S:1:pos:R:3 pbc="T T T"
Sc 0.0000 0.0000 0.0000
Tm 4.8760 2.8151 1.9906
Rh 7.3140 4.2227 2.9859
Mg 2.4380 1.4076 0.9953
```

---

Which structure loses on stability? (two) does.

---

(one)
The following is a DFT calculation (PBE) of a geometry-optimized MgRhSe structure.

Results
Space-group type: No. 187
Total moment: 0.0 μB per cell

The structure in extended XYZ format:
```
3
Lattice="4.2281 0.0000 0.0000 -2.1141 3.6617 0.0000 0.0000 0.0000 3.4398" Properties=species:S:1:pos:R:3 pbc="T T T"
Rh 2.1141 1.2206 1.7199
Mg 0.0000 0.0000 0.0000
Se 0.0000 2.4411 1.7199
```

---

(two)
The following is a DFT calculation (PBE) of a geometry-optimized MgRhSe structure.

Results
Space-group type: No. 107
Total moment: 0.0 μB per cell

The structure in extended XYZ format:
```
3
Lattice="-1.5776 0.0574 4.5059 1.4654 -3.5038 2.8934 2.0110 3.0905 -3.0332" Properties=species:S:1:pos:R:3 pbc="T T T"
Mg -0.0004 -0.0136 0.0292
Rh -0.0738 -2.2652 4.8634
Se -0.0380 -1.1676 2.5068
```

---

(three)
The following is a DFT calculation (PBE) of a geometry-optimized MgRhSe structure.

Results
Space-group type: No. 38
Total moment: 0.0 μB per cell

The structure in extended XYZ format:
```
6
Lattice="-0.1736 1.1723 -3.1638 -2.7852 -0.9871 1.5909 -1.4691 10.6137 4.0134" Properties=species:S:1:pos:R:3 pbc="T T T"
Rh -0.3865 0.5443 -1.5809
Rh -2.6563 5.0386 2.0127
Mg -2.0162 7.4433 1.0648
Mg -1.5499 4.0742 -0.2091
Se -1.4910 1.3604 0.5859
Se -2.5341 8.8965 3.4356
```

---

(four)
The following is a DFT calculation (PBE) of a geometry-optimized MgRhSe structure.

Results
Space-group type: No. 216
Total moment: 0.0 μB per cell

The structure in extended XYZ format:
```
3
Lattice="4.2839 0.0000 0.0000 2.1419 3.7100 0.0000 2.1419 1.2367 3.4978" Properties=species:S:1:pos:R:3 pbc="T T T"
Se 0.0000 0.0000 0.0000
Mg 4.2839 2.4733 1.7489
Rh 6.4258 3.7100 2.6233
```

---

Which structure loses on stability? (three) does.

---

(one)
The following is a DFT calculation (PBE) of a geometry-optimized MgRh3Se structure.

Results
Space-group type: No. 221
Total moment: 0.0 μB per cell

The structure in extended XYZ format:
```
5
Lattice="4.5632 0.0000 0.0000 0.0000 4.5632 0.0000 0.0000 0.0000 4.5632" Properties=species:S:1:pos:R:3 pbc="T T T"
Rh 0.0000 2.2816 0.0000
Rh 0.0000 0.0000 2.2816
Rh 2.2816 0.0000 0.0000
Se 0.0000 0.0000 0.0000
Mg 2.2816 2.2816 2.2816
```

---

(two)
The following is a DFT calculation (PBE) of a geometry-optimized MgRh3Se structure.

Results
Space-group type: No. 221
Total moment: 1.9 μB per cell

The structure in extended XYZ format:
```
5
Lattice="4.5530 0.0000 0.0000 0.0000 4.5530 0.0000 0.0000 0.0000 4.5530" Properties=species:S:1:pos:R:3 pbc="T T T"
Rh 0.0000 0.0000 2.2765
Rh 2.2765 0.0000 0.0000
Rh 0.0000 2.2765 0.0000
Se 2.2765 2.2765 2.2765
Mg 0.0000 0.0000 0.0000
```

---

Which structure loses on stability? (two) does.

---

(one)
The following is a DFT calculation (PBE) of a geometry-optimized MgSiRh3 structure.

Results
Space-group type: No. 221
Total moment: 0.0 μB per cell

The structure in extended XYZ format:
```
5
Lattice="4.4106 0.0000 0.0000 0.0000 4.4106 0.0000 0.0000 0.0000 4.4106" Properties=species:S:1:pos:R:3 pbc="T T T"
Rh 0.0000 0.0000 2.2053
Rh 2.2053 0.0000 0.0000
Rh 0.0000 2.2053 0.0000
Si 0.0000 0.0000 0.0000
Mg 2.2053 2.2053 2.2053
```

---

(two)
The following is a DFT calculation (PBE) of a geometry-optimized MgSiRh3 structure.

Results
Space-group type: No. 161
Total moment: 0.0 μB per cell

The structure in extended XYZ format:
```
10
Lattice="5.7243 0.0211 0.0162 2.0414 5.3479 0.0162 2.0414 1.4114 5.1584" Properties=species:S:1:pos:R:3 pbc="T T T"
Rh 2.9475 5.2597 2.0582
Rh 5.8096 5.3384 1.9772
Rh 5.1410 4.2691 4.6373
Rh 4.1840 1.5710 4.5402
Rh 5.9617 2.2217 0.3316
Rh 7.0462 2.8351 2.9108
Mg 9.2629 6.4042 4.9027
Mg 4.3594 3.0140 2.3073
Si 7.2445 5.0087 3.8344
Si 2.3410 1.6185 1.2390
```

---

Which structure loses on stability? (one) does.

---

(one)
The following is a DFT calculation (PBE) of a geometry-optimized MgSiRh4 structure.

Results
Space-group type: No. 123
Total moment: 0.0 μB per cell

The structure in extended XYZ format:
```
6
Lattice="-2.6480 2.8317 0.9390 -0.9406 0.3991 -3.8554 -4.2990 -4.2228 0.6114" Properties=species:S:1:pos:R:3 pbc="T T T"
Mg -6.0864 -2.5974 -0.8364
Rh -3.5830 -2.8547 -1.4734
Rh -3.4365 0.6672 -3.2077
Rh -5.3773 -1.2391 -2.9318
Rh -1.6421 -0.9481 -1.7494
Si -3.0829 -1.7018 -3.5390
```

---

(two)
The following is a DFT calculation (PBE) of a geometry-optimized MgSiRh4 structure.

Results
Space-group type: No. 216
Total moment: 0.0 μB per cell

The structure in extended XYZ format:
```
6
Lattice="0.0000 3.6272 3.6272 3.6272 0.0000 3.6272 3.6272 3.6272 0.0000" Properties=species:S:1:pos:R:3 pbc="T T T"
Rh 4.5314 2.7231 4.5314
Rh 2.7231 2.7231 2.7231
Rh 2.7231 4.5314 4.5314
Rh 4.5314 4.5314 2.7231
Mg 0.0000 0.0000 0.0000
Si 5.4409 5.4409 5.4409
```

---

Which structure loses on stability? (two) does.

---

(one)
The following is a DFT calculation (PBE) of a geometry-optimized Mg3SiRh structure.

Results
Space-group type: No. 221
Total moment: 0.4 μB per cell

The structure in extended XYZ format:
```
5
Lattice="-1.5646 -2.8033 -3.6319 0.1255 -3.8620 2.9269 -4.5862 0.8507 1.3191" Properties=species:S:1:pos:R:3 pbc="T T T"
Rh -3.0127 -2.9073 0.3071
Mg -2.2931 0.4253 0.6596
Mg 0.0628 -1.9310 1.4634
Mg -0.7823 -1.4017 -1.8159
Si 0.0000 0.0000 0.0000
```

---

(two)
The following is a DFT calculation (PBE) of a geometry-optimized Mg3SiRh structure.

Results
Space-group type: No. 221
Total moment: 0.0 μB per cell

The structure in extended XYZ format:
```
5
Lattice="-0.2646 -3.0040 3.8150 3.9382 2.1023 1.9286 -2.8406 3.1945 2.3184" Properties=species:S:1:pos:R:3 pbc="T T T"
Mg -1.4203 1.5972 1.1592
Mg 1.9691 1.0512 0.9643
Mg -0.1323 -1.5020 1.9075
Rh 0.0000 0.0000 0.0000
Si 0.4165 1.1464 4.0310
```

---

Which structure loses on stability? (one) does.

---

(one)
The following is a DFT calculation (PBE) of a geometry-optimized Sm4MgRh structure.

Results
Space-group type: No. 15
Total moment: 0.0 μB per cell

The structure in extended XYZ format:
```
12
Lattice="-6.1845 -0.3304 -0.0344 3.9207 -6.1125 -6.0103 1.3453 -1.2617 7.7208" Properties=species:S:1:pos:R:3 pbc="T T T"
Mg 0.4641 -4.1876 -1.9146
Mg -1.3827 -3.5169 3.5907
Sm 0.1069 -2.2119 0.9409
Sm -3.0192 -2.7496 -0.8690
Sm -2.2602 -5.4725 -3.5015
Sm 2.1354 -6.7017 -0.5619
Sm 2.1006 -4.9550 2.5450
Sm 1.3416 -2.2321 5.1776
Sm -1.0255 -5.4926 0.7352
Sm -3.0540 -1.0029 2.2380
Rh 3.7198 -7.4560 1.7011
Rh -4.6384 -0.2485 -0.0250
```

---

(two)
The following is a DFT calculation (PBE) of a geometry-optimized Sm4MgRh structure.

Results
Space-group type: No. 216
Total moment: 0.0 μB per cell

The structure in extended XYZ format:
```
24
Lattice="9.8869 0.0000 0.0000 4.9435 8.5623 0.0000 4.9435 2.8541 8.0726" Properties=species:S:1:pos:R:3 pbc="T T T"
Mg 13.2614 9.4681 6.6950
Mg 14.8304 8.5623 4.1329
Mg 16.3993 9.4681 6.6950
Mg 14.8304 6.7506 6.6950
Sm 9.8869 3.4839 4.8227
Sm 9.8869 2.1251 1.5026
Sm 6.7988 3.9253 0.5033
Sm 3.0881 3.9253 0.5033
Sm 7.9606 6.8204 4.8227
Sm 6.7838 3.9166 6.5700
Sm 6.7988 1.7829 3.5330
Sm 4.9435 0.7117 0.5033
Sm 4.9435 4.9965 3.5330
Sm 3.0881 1.7829 3.5330
Sm 11.8132 6.8204 4.8227
Sm 12.9900 7.4998 1.5026
Sm 6.7838 7.4998 1.5026
Sm 12.9900 3.9166 6.5700
Sm 9.8869 5.7082 1.6771
Sm 9.8869 9.2914 6.5700
Rh 7.7553 4.4776 3.1661
Rh 12.0185 4.4776 3.1661
Rh 9.8869 8.1695 3.1661
Rh 9.8869 5.7082 6.6469
```

---

Which structure loses on stability? (one) does.